# 1
YAs2Pd2 | GGA-PBE | relaxed

a = 6.173 Å, b = 6.173 Å, c = 7.903 Å
α = 90.00°, β = 90.00°, γ = 140.93°
Sites, in units of the cell vectors:
Y  0.099  0.901  0.500
Y  0.901  0.099  0.000
As  0.241  0.759  0.817
As  0.449  0.551  0.656
As  0.551  0.449  0.156
As  0.759  0.241  0.317
Pd  0.182  0.818  0.134
Pd  0.387  0.613  0.348
Pd  0.613  0.387  0.848
Pd  0.818  0.182  0.634

Calculated values
As for the formation energy: -0.80 eV per atom. Its space group is Cmc2_1 (36).

=====

# 2
Mg2Pd2Pt | GGA-PBE | relaxed

a = 7.358 Å, b = 7.358 Å, c = 2.984 Å
α = 90.00°, β = 90.00°, γ = 90.00°
Sites, in units of the cell vectors:
Mg  0.152  0.348  0.000
Mg  0.348  0.848  0.000
Mg  0.652  0.152  0.000
Mg  0.848  0.652  0.000
Pd  0.147  0.647  0.500
Pd  0.353  0.147  0.500
Pd  0.647  0.853  0.500
Pd  0.853  0.353  0.500
Pt  0.000  0.000  0.000
Pt  0.500  0.500  0.000

Calculated values
As for the formation energy: -0.46 eV per atom. Its space group is P4/mbm (127). For the excess energy over the best structure of this formula in the dataset, the calculation gives 0.066 eV/atom.

=====

# 3
AgTeF6 | GGA-PBE | relaxed

a = 5.709 Å, b = 5.709 Å, c = 10.643 Å
α = 90.00°, β = 90.00°, γ = 120.00°
Sites, in units of the cell vectors:
Ag  0.333  0.667  0.250
Ag  0.667  0.333  0.750
Te  0.000  0.000  0.000
Te  0.000  0.000  0.500
F  0.061  0.311  0.110
F  0.061  0.750  0.390
F  0.250  0.311  0.390
F  0.250  0.939  0.110
F  0.311  0.061  0.610
F  0.311  0.250  0.890
F  0.689  0.750  0.110
F  0.689  0.939  0.390
F  0.750  0.061  0.890
F  0.750  0.689  0.610
F  0.939  0.250  0.610
F  0.939  0.689  0.890

Calculated values
Its space group is P-31c (163). For the excess energy over the best structure of this formula in the dataset, the calculation gives 0.000 eV/atom. The uncorrected formation energy comes out at -1.79 eV per atom.

=====

# 4
PrCdSn | GGA-PBE | relaxed

a = 6.683 Å, b = 6.683 Å, c = 6.683 Å
α = 148.09°, β = 148.09°, γ = 45.75°
Sites, in units of the cell vectors:
Pr  0.000  0.000  0.000
Cd  0.326  0.326  0.000
Sn  0.682  0.682  0.000

Calculated values
As for the formation energy: -0.34 eV per atom. Its space group is I4mm (107).

=====

# 5
NaLiGdAg | GGA-PBE | relaxed

a = 5.160 Å, b = 5.160 Å, c = 5.160 Å
α = 60.00°, β = 60.00°, γ = 60.00°
Sites, in units of the cell vectors:
Na  0.000  0.000  0.000
Li  0.250  0.250  0.250
Gd  0.500  0.500  0.500
Ag  0.750  0.750  0.750

Calculated values
As for the formation energy: 0.06 eV per atom. Its space group is F-43m (216).

=====

# 6
SmOs2PbO8 | GGA-PBE | relaxed

a = 6.051 Å, b = 6.051 Å, c = 7.217 Å
α = 90.00°, β = 90.00°, γ = 120.00°
Sites, in units of the cell vectors:
Sm  0.000  0.000  0.000
Os  0.333  0.667  0.288
Os  0.667  0.333  0.712
Pb  0.000  0.000  0.500
O  0.165  0.330  0.214
O  0.165  0.835  0.214
O  0.330  0.165  0.786
O  0.333  0.667  0.536
O  0.667  0.333  0.464
O  0.670  0.835  0.214
O  0.835  0.165  0.786
O  0.835  0.670  0.786

Calculated values
Its space group is P-3m1 (164). The uncorrected formation energy comes out at -1.29 eV per atom.

=====

Copy entry 2 word for word.
Mg2Pd2Pt | GGA-PBE | relaxed

a = 7.358 Å, b = 7.358 Å, c = 2.984 Å
α = 90.00°, β = 90.00°, γ = 90.00°
Sites, in units of the cell vectors:
Mg  0.152  0.348  0.000
Mg  0.348  0.848  0.000
Mg  0.652  0.152  0.000
Mg  0.848  0.652  0.000
Pd  0.147  0.647  0.500
Pd  0.353  0.147  0.500
Pd  0.647  0.853  0.500
Pd  0.853  0.353  0.500
Pt  0.000  0.000  0.000
Pt  0.500  0.500  0.000

Calculated values
As for the formation energy: -0.46 eV per atom. Its space group is P4/mbm (127). For the excess energy over the best structure of this formula in the dataset, the calculation gives 0.066 eV/atom.

=====

> Number 3 is which compound?

AgTeF6